NpMnPtAu | Alexandria via LeMat-Bulk | PBE | optimized geometry; DFT total energy = -0.5832 Ry/atom; calculated density = 14.38 g cm⁻³
1.0
0.0000 3.4057 3.4057
3.4057 0.0000 3.4057
3.4057 3.4057 0.0000
Np Mn Pt Au
1 1 1 1
Cartesian
0.0000 0.0000 0.0000 Np
3.4057 3.4057 3.4057 Mn
5.1085 5.1085 5.1085 Pt
1.7028 1.7028 1.7028 Au

---

NpMnZn2Au4 | Alexandria via LeMat-Bulk | PBE | optimized geometry; DFT total energy = -0.3557 Ry/atom; calculated density = 13.47 g cm⁻³
1.0
2.2850 1.3192 8.2510
-2.2850 1.3192 8.2510
0.0000 -2.6385 8.2510
Np Mn Zn Au
1 1 2 4
Cartesian
0.0000 0.0000 0.0000 Np
0.0000 0.0000 12.3765 Mn
0.0000 0.0000 6.0594 Zn
0.0000 0.0000 18.6936 Zn
0.0000 0.0000 3.2279 Au
0.0000 0.0000 9.6937 Au
0.0000 0.0000 15.0594 Au
0.0000 0.0000 21.5252 Au

---

Record order is preserved below.
Total magnetic moment: 8.2; 8.0 μB/f.u.
Record order is preserved below.
Energy of formation: -8; -11 kJ per mole of atoms